VASP calculation (GGA-PBE) on an optimized crystal structure of Sc2BiTe.

Unit cell a=6.883 b=7.353 c=8.522 alpha=90.00 beta=90.00 gamma=90.00
Positions (direct):
Sc (0.500, 0.750, 0.126)
Sc (0.000, 0.750, 0.126)
Sc (0.000, 0.250, 0.376)
Sc (0.000, 0.250, 0.874)
Sc (0.000, 0.750, 0.624)
Sc (0.500, 0.750, 0.624)
Sc (0.500, 0.250, 0.874)
Sc (0.500, 0.250, 0.376)
Bi (0.250, 0.415, 0.126)
Bi (0.250, 0.915, 0.874)
Bi (0.750, 0.085, 0.126)
Bi (0.750, 0.585, 0.874)
Te (0.750, 0.083, 0.624)
Te (0.250, 0.417, 0.624)
Te (0.250, 0.917, 0.376)
Te (0.750, 0.583, 0.376)

## Properties
As for the uncorrected formation energy: -0.937 eV per atom. The total energy comes out at -5.858 eV/atom. As for the space group: Pbcm. The crystal system is orthorhombic.



VASP calculation (GGA-PBE) on an optimized crystal structure of ZnRh3I.

Unit cell a=4.646 b=4.646 c=4.646 alpha=90.00 beta=90.00 gamma=90.00
Each line ends with the local moment (μB).
Positions (direct):
I (0.500, 0.500, 0.500)  0.14
Zn (0.000, 0.000, 0.000)  -0.03
Rh (0.000, 0.500, 0.000)  1.02
Rh (0.000, 0.000, 0.500)  0.80
Rh (0.500, 0.000, 0.000)  0.72

## Properties
As for the uncorrected formation energy: 0.989 eV per atom. The total energy comes out at -3.987 eV/atom. As for the space group: Pm-3m. The crystal system is cubic.



VASP calculation (GGA-PBE) on an optimized crystal structure of Tm3Cd.

Unit cell a=3.751 b=5.285 c=6.472 alpha=114.10 beta=106.84 gamma=90.00
Positions (direct):
Tm (0.275, 0.692, 0.551)
Tm (0.500, 0.416, 0.000)
Tm (0.725, 0.142, 0.449)
Cd (0.000, 0.916, 0.000)

## Properties
For the formation energy from the elements, the calculation gives -0.139 eV/atom. The total energy comes out at -3.722 eV/atom. As for the space group: Immm. The crystal system is orthorhombic.



VASP calculation (GGA-PBE) on an optimized crystal structure of GaAgPbAu.

Unit cell a=4.970 b=4.970 c=4.970 alpha=60.00 beta=60.00 gamma=60.00
Positions (direct):
Pb (0.750, 0.750, 0.750)
Au (0.000, 0.000, 0.000)
Ga (0.250, 0.250, 0.250)
Ag (0.500, 0.500, 0.500)

## Properties
For the formation energy from the elements, the calculation gives 0.073 eV/atom. The total energy comes out at -3.143 eV/atom. As for the space group: F-43m. The crystal system is cubic.



VASP calculation (GGA-PBE) on an optimized crystal structure of PuUReIr.

Unit cell a=4.643 b=4.643 c=4.643 alpha=60.00 beta=60.00 gamma=60.00
Each line ends with the local moment (μB).
Positions (direct):
Re (0.500, 0.500, 0.500)  -0.36
Ir (0.750, 0.750, 0.750)  -0.26
U (0.250, 0.250, 0.250)  0.45
Pu (0.000, 0.000, 0.000)  4.09

## Properties
For the formation energy from the elements, the calculation gives -0.140 eV/atom. The total energy comes out at -11.873 eV/atom. As for the space group: F-43m. The crystal system is cubic.



VASP calculation (GGA-PBE) on an optimized crystal structure of CrGeAsSe2.

Unit cell a=4.875 b=4.875 c=4.695 alpha=90.00 beta=90.00 gamma=90.00
Each line ends with the local moment (μB).
Positions (direct):
Cr (0.000, 0.000, 0.000)  2.38
As (0.000, 0.000, 0.500)  -0.21
Ge (0.500, 0.500, 0.500)  0.13
Se (0.000, 0.500, 0.000)  -0.08
Se (0.500, 0.000, 0.000)  -0.08

## Properties
As for the uncorrected formation energy: 0.334 eV per atom. The total energy comes out at -4.838 eV/atom. As for the space group: P4/mmm. The crystal system is tetragonal.